# 1
A relaxed structure of BaAg2Os, computed with GGA-PBE.

Cell lengths 4.439, 4.439, 9.180 Å; angles 90.00, 90.00, 90.00 degrees
Space group I-4m2 (No. 119)
One atom of each set of equivalent atoms:
1 Ba 0.000 0.000 0.000 (multiplicity 2)
2 Ag 0.000 0.000 0.500 (multiplicity 2)
3 Ag 0.000 0.500 0.250 (multiplicity 2)
4 Os 0.000 0.500 0.750 (multiplicity 2)

Output
calculated total energy: -3.825 eV per atom
calculated formation energy: 0.8883 eV/atom



# 2
A relaxed structure of Ba4AgOs, computed with GGA-PBE.

Cell lengths 9.585, 9.585, 9.585 Å; angles 90.00, 90.00, 90.00 degrees
Space group F-43m (No. 216)
One atom of each set of equivalent atoms:
1 Ba 0.124 0.124 0.124 (multiplicity 16)
2 Ag 0.000 0.000 0.500 (multiplicity 4)
3 Os 0.250 0.250 0.750 (multiplicity 4)

Output
calculated total energy: -2.422 eV per atom
calculated formation energy: 1.2062 eV/atom



# 3
A relaxed structure of BaAgOs, computed with GGA-PBE.

Cell lengths 7.207, 7.207, 7.207 Å; angles 90.00, 90.00, 90.00 degrees
Space group F-43m (No. 216)
One atom of each set of equivalent atoms:
1 Ba 0.000 0.000 0.000 (multiplicity 4)
2 Ag 0.250 0.250 0.250 (multiplicity 4)
3 Os 0.250 0.250 0.750 (multiplicity 4)

Output
calculated total energy: -3.565 eV per atom
calculated formation energy: 1.7694 eV/atom



# 4
A relaxed structure of Ba2AgOs, computed with GGA-PBE.

Cell lengths 4.780, 4.831, 11.422 Å; angles 90.00, 90.00, 90.00 degrees
Space group Amm2 (No. 38)
One atom of each set of equivalent atoms:
1 Ba 0.000 0.000 0.000 (multiplicity 2)
2 Ba 0.500 0.000 0.285 (multiplicity 2)
3 Ag 0.500 0.000 0.588 (multiplicity 2)
4 Os 0.000 0.000 0.684 (multiplicity 2)

Output
calculated total energy: -4.032 eV per atom
calculated formation energy: 0.4498 eV/atom



# 5
A relaxed structure of BaAg2Os, computed with GGA-PBE.

Cell lengths 7.134, 7.134, 7.134 Å; angles 90.00, 90.00, 90.00 degrees
Space group F-43m (No. 216)
One atom of each set of equivalent atoms:
1 Ba 0.000 0.000 0.000 (multiplicity 4)
2 Ag 0.000 0.000 0.500 (multiplicity 4)
3 Ag 0.250 0.250 0.750 (multiplicity 4)
4 Os 0.250 0.250 0.250 (multiplicity 4)

Output
calculated total energy: -3.749 eV per atom
calculated formation energy: 0.9648 eV/atom



# 6
A relaxed structure of BaAg2Os, computed with GGA-PBE.

Cell lengths 6.309, 8.764, 3.076 Å; angles 90.00, 90.00, 90.00 degrees
Space group Cmmm (No. 65)
One atom of each set of equivalent atoms:
1 Ba 0.000 0.000 0.000 (multiplicity 2)
2 Ag 0.250 0.250 0.500 (multiplicity 4)
3 Os 0.000 0.500 0.000 (multiplicity 2)

Output
calculated total energy: -3.859 eV per atom
calculated formation energy: 0.8543 eV/atom



Number 1: DOS at the Fermi energy 0.8490 states/eV per atom. Number 2: DOS at the Fermi energy 0.7701 states/eV per atom. Number 3: DOS at the Fermi energy 2.2896 states/eV per atom. Number 4: DOS at the Fermi energy 1.0641 states/eV per atom. Number 5: DOS at the Fermi energy 1.6266 states/eV per atom. Number 6: DOS at the Fermi energy 0.4387 states/eV per atom.